No. 1
{
  "formula": "CaCo",
  "functional": "PBE-GGA",
  "state": "optimized geometry",
  "formation_enthalpy_0k_mev_per_atom": 379,
  "spacegroup": "Cmmm, No. 65",
  "cell": [[-2.569, -6.449, 15.969], [-3.301, -1.499, -1.136], [2.032, -3.617, -1.134]],
  "species": ["Co", "Co", "Co", "Co", "Co", "Co", "Ca", "Ca", "Ca", "Ca", "Ca", "Ca"],
  "frac_coords": [[0.281, 0.500, 0.000], [0.000, 0.500, 0.500], [0.219, 0.000, 0.000], [0.500, 0.000, 0.500], [0.719, 0.500, 0.000], [0.781, 0.000, 0.000], [0.660, 0.000, 0.500], [0.500, 0.500, 0.000], [0.000, 0.000, 0.000], [0.840, 0.500, 0.500], [0.160, 0.500, 0.500], [0.340, 0.000, 0.500]]
}



No. 2
{
  "formula": "I",
  "functional": "PBE-GGA",
  "state": "optimized geometry",
  "e_form_raw_ev_per_atom": 0.0911,
  "spacegroup": "P3_121, No. 152",
  "cell": [[-1.510, 4.282, -1.778], [-3.251, -3.232, 1.663], [0.567, 3.421, 7.756]],
  "species": ["I", "I", "I"],
  "frac_coords": [[0.000, 0.907, 0.333], [0.907, 0.000, 0.000], [0.093, 0.093, 0.667]]
}



No. 3
{
  "formula": "BRuBr2F",
  "functional": "PBE-GGA",
  "state": "optimized geometry",
  "e_form_raw_ev_per_atom": 0.5612,
  "spacegroup": "P4/mmm, No. 123",
  "cell": [[4.736, 0.000, 0.000], [0.000, 3.327, 0.000], [0.000, 0.000, 4.736]],
  "species": ["Br", "Br", "Ru", "F", "B"],
  "frac_coords": [[0.500, 0.000, 0.000], [0.000, 0.000, 0.500], [0.500, 0.500, 0.500], [0.000, 0.500, 0.000], [0.000, 0.000, 0.000]]
}



No. 4
{
  "formula": "K2Li2Tl",
  "functional": "PBE-GGA",
  "state": "optimized geometry",
  "formation_enthalpy_0k_mev_per_atom": 29,
  "spacegroup": "P4/mbm, No. 127",
  "cell": [[-2.288, 1.794, 7.076], [-6.408, -4.047, -1.045], [2.780, -4.959, 2.156]],
  "species": ["K", "K", "K", "K", "Li", "Li", "Li", "Li", "Tl", "Tl"],
  "frac_coords": [[0.686, 0.814, 0.500], [0.186, 0.686, 0.500], [0.814, 0.314, 0.500], [0.314, 0.186, 0.500], [0.851, 0.649, 0.000], [0.351, 0.851, 0.000], [0.649, 0.149, 0.000], [0.149, 0.351, 0.000], [0.500, 0.500, 0.000], [0.000, 0.000, 0.000]]
}



No. 5
{
  "formula": "BaWCl",
  "functional": "PBE-GGA",
  "state": "optimized geometry",
  "e_form_raw_ev_per_atom": 1.0550,
  "spacegroup": "F-43m, No. 216",
  "cell": [[-0.606, 4.185, -3.701], [0.793, -0.959, -5.481], [-4.381, 0.026, -3.520]],
  "species": ["W", "Cl", "Ba"],
  "frac_coords": [[0.500, 0.500, 0.500], [0.000, 0.000, 0.000], [0.750, 0.750, 0.750]]
}



No. 6
{
  "formula": "KTe2NCl",
  "functional": "PBE-GGA",
  "state": "optimized geometry",
  "e_form_raw_ev_per_atom": 0.7632,
  "spacegroup": "P4/mmm, No. 123",
  "cell": [[6.697, 0.000, 0.000], [0.000, 6.697, 0.000], [0.000, 0.000, 3.321]],
  "species": ["Cl", "Te", "Te", "N", "K"],
  "frac_coords": [[0.000, 0.000, 0.000], [0.500, 0.000, 0.000], [0.000, 0.500, 0.000], [0.000, 0.000, 0.500], [0.500, 0.500, 0.500]]
}



No. 7
{
  "formula": "LiCaRe3",
  "functional": "PBE-GGA",
  "state": "optimized geometry",
  "formation_enthalpy_0k_mev_per_atom": 3175,
  "spacegroup": "Pm-3m, No. 221",
  "cell": [[-4.487, -0.193, 1.272], [0.508, -4.506, 1.109], [1.182, 1.205, 4.352]],
  "species": ["Re", "Re", "Re", "Ca", "Li"],
  "frac_coords": [[0.000, 0.000, 0.500], [0.500, 0.000, 0.000], [0.000, 0.500, 0.000], [0.000, 0.000, 0.000], [0.500, 0.500, 0.500]]
}



No. 8
{
  "formula": "Ac4Ir6O19",
  "functional": "PBE-GGA",
  "state": "optimized geometry",
  "e_form_raw_ev_per_atom": -1.7231,
  "spacegroup": "I23, No. 197",
  "cell": [[-3.487, 6.938, 2.028], [-5.561, -5.079, -2.774], [3.559, -3.191, 6.447]],
  "species": ["O", "O", "O", "O", "O", "O", "O", "O", "O", "O", "O", "O", "O", "O", "O", "O", "O", "O", "O", "Ir", "Ir", "Ir", "Ir", "Ir", "Ir", "Ac", "Ac", "Ac", "Ac"],
  "frac_coords": [[0.314, 0.961, 0.697], [0.383, 0.647, 0.686], [0.686, 0.383, 0.647], [0.000, 0.650, 0.650], [0.039, 0.353, 0.737], [0.353, 0.737, 0.039], [0.650, 0.000, 0.650], [0.650, 0.650, 0.000], [0.263, 0.617, 0.303], [0.000, 0.350, 0.350], [0.303, 0.263, 0.617], [0.647, 0.686, 0.383], [0.697, 0.314, 0.961], [0.737, 0.039, 0.353], [0.000, 0.000, 0.000], [0.961, 0.697, 0.314], [0.350, 0.000, 0.350], [0.617, 0.303, 0.263], [0.350, 0.350, 0.000], [0.500, 0.160, 0.660], [0.500, 0.840, 0.340], [0.160, 0.660, 0.500], [0.340, 0.500, 0.840], [0.660, 0.500, 0.160], [0.840, 0.340, 0.500], [0.677, 0.000, 0.000], [0.000, 0.000, 0.677], [0.000, 0.677, 0.000], [0.323, 0.323, 0.323]]
}



No. 9
{
  "formula": "Sr2LaSnTe",
  "functional": "PBE-GGA",
  "state": "optimized geometry",
  "e_form_raw_ev_per_atom": -0.4121,
  "spacegroup": "P4/mmm, No. 123",
  "cell": [[-6.092, 0.824, 0.723], [-1.085, -3.854, -4.753], [-0.182, -4.786, 3.922]],
  "species": ["Sn", "Sr", "Sr", "Te", "La"],
  "frac_coords": [[0.000, 0.000, 0.000], [0.500, 0.000, 0.000], [0.000, 0.000, 0.500], [0.500, 0.500, 0.500], [0.000, 0.500, 0.000]]
}



No. 10
{
  "formula": "CdPt4O8",
  "functional": "PBE-GGA",
  "state": "optimized geometry",
  "e_form_raw_ev_per_atom": -0.4284,
  "spacegroup": "F-43m, No. 216",
  "cell": [[5.569, 0.000, 3.215], [1.856, 5.250, 3.215], [0.000, 0.000, 6.430]],
  "species": ["O", "O", "O", "O", "O", "O", "O", "O", "Cd", "Pt", "Pt", "Pt", "Pt"],
  "frac_coords": [[0.146, 0.146, 0.146], [0.146, 0.146, 0.561], [0.188, 0.604, 0.604], [0.146, 0.561, 0.146], [0.604, 0.604, 0.604], [0.604, 0.604, 0.188], [0.561, 0.146, 0.146], [0.604, 0.188, 0.604], [0.750, 0.750, 0.750], [0.373, 0.373, 0.881], [0.373, 0.373, 0.373], [0.373, 0.881, 0.373], [0.881, 0.373, 0.373]]
}



No. 11
{
  "formula": "Tb5Y3In",
  "functional": "PBE-GGA",
  "state": "optimized geometry",
  "formation_enthalpy_0k_mev_per_atom": 196,
  "spacegroup": "I4/mcm, No. 140",
  "cell": [[-5.206, -1.221, 7.642], [5.251, -7.323, 2.408], [4.106, 8.373, -1.557]],
  "species": ["Tb", "Tb", "Tb", "Tb", "Tb", "Tb", "Tb", "Tb", "Tb", "Tb", "Y", "Y", "Y", "Y", "Y", "Y", "In", "In"],
  "frac_coords": [[0.558, 0.674, 0.731], [0.000, 0.000, 0.000], [0.826, 0.942, 0.269], [0.942, 0.442, 0.269], [0.442, 0.326, 0.269], [0.500, 0.500, 0.000], [0.174, 0.058, 0.731], [0.058, 0.558, 0.731], [0.326, 0.826, 0.269], [0.674, 0.174, 0.731], [0.750, 0.750, 0.500], [0.887, 0.613, 0.000], [0.613, 0.113, 0.000], [0.113, 0.387, 0.000], [0.250, 0.250, 0.500], [0.387, 0.887, 0.000], [0.750, 0.250, 0.500], [0.250, 0.750, 0.500]]
}



No. 12
{
  "formula": "LaPmHo",
  "functional": "PBE-GGA",
  "state": "optimized geometry",
  "formation_enthalpy_0k_mev_per_atom": 66,
  "spacegroup": "P-6m2, No. 187",
  "cell": [[-2.302, -2.593, 0.569], [3.747, -2.540, 3.581], [-3.806, 3.828, 2.045]],
  "species": ["Ho", "Pm", "La"],
  "frac_coords": [[0.166, 0.333, 0.667], [0.667, 0.667, 0.333], [0.167, 0.000, 0.000]]
}